VASP calculation (PBE-GGA) on a geometry-optimized NaIn3Hg5 structure.

## Properties
The value obtained for the formation enthalpy at 0 K is -0.0588 eV per atom. The calculation puts the magnetization at 0.0 μB per formula unit. For the density of states at the Fermi level, the calculation gives 4.61 states/eV/cell. Its symmetry is No. 193.

Cell lengths 6.6334, 9.0630, 9.0630 Å; angles 120.00, 90.00, 90.00 degrees
Atoms (fractional coordinates):
In (0.7500, 0.3614, 0.3613)
In (0.7500, 0.6386, 0.0000)
Hg (0.7500, 0.0000, 0.3052)
Hg (0.7500, 0.3051, 0.0000)
Hg (0.0000, 0.6667, 0.3333)
In (0.2500, 0.6386, 0.6387)
Hg (0.2500, 0.3052, 0.3052)
Hg (0.7500, 0.6948, 0.6948)
Hg (0.5000, 0.6667, 0.3333)
Hg (0.0000, 0.3333, 0.6667)
Hg (0.2500, 0.0000, 0.6948)
Hg (0.5000, 0.3333, 0.6667)
Na (0.5000, 0.0000, 0.0000)
Na (0.0000, 0.0000, 0.0000)
In (0.2500, 0.3614, 0.0000)
Hg (0.2500, 0.6949, 0.0000)
In (0.2500, 0.9999, 0.3613)
In (0.7500, 0.0001, 0.6387)